No. 1
Density functional theory data (PBE-GGA) for a geometry-optimized SrBe2P structure.

```
SrBe2P
1.0
-0.963 4.320 -3.831
-1.495 -4.469 -1.507
-2.811 0.726 0.439
Sr P Be
1 1 2
direct
0.500 0.000 0.500
0.500 0.500 0.000
0.000 0.000 0.000
0.000 0.500 0.500
```

## Properties
The calculation puts the spin magnetization at 0.00 μB/cell. As for the symmetry: C2/m (12). Its mass density is 3.1 g cm⁻³. Its crystal system is monoclinic. The calculation puts the density of states at the Fermi level at 0.36 states/eV per atom. The total DFT energy (no corrections) comes out at -11.80 eV/cell.



No. 2
Density functional theory data (PBE-GGA) for a geometry-optimized VNiPd14 structure.

```
VNiPd14
1.0
-3.208 -3.982 -2.205
2.258 -3.734 3.459
-5.511 1.533 5.252
Pd Ni V
14 1 1
direct
0.627 0.123 0.740
0.875 0.375 0.500
0.123 0.627 0.740
0.875 0.875 0.000
0.124 0.124 0.260
0.124 0.124 0.740
0.375 0.875 0.500
0.123 0.627 0.260
0.627 0.123 0.260
0.375 0.875 0.000
0.875 0.375 0.000
0.626 0.626 0.740
0.626 0.626 0.260
0.375 0.375 0.000
0.375 0.375 0.500
0.875 0.875 0.500
```

## Properties
The calculation puts the spin magnetization at 1.71 μB/cell. As for the symmetry: P4/mmm (123). Its mass density is 11.0 g cm⁻³. Its crystal system is tetragonal. The calculation puts the density of states at the Fermi level at 1.78 states/eV per atom. The total DFT energy (no corrections) comes out at -88.64 eV/cell.



No. 3
Density functional theory data (PBE-GGA) for a geometry-optimized GaSeS structure.

```
GaSeS
1.0
-0.097 3.304 -0.935
-0.825 -0.901 3.211
6.869 0.762 1.980
Ga S Se
1 1 1
direct
0.667 0.333 0.365
0.333 0.667 0.537
0.000 0.000 0.098
```

## Properties
The calculation puts the spin magnetization at 0.00 μB/cell. As for the symmetry: P3m1 (156). Its mass density is 4.1 g cm⁻³. Its crystal system is trigonal. The uncorrected formation energy is -0.24 eV per atom. The calculation puts the density of states at the Fermi level at 0.47 states/eV per atom. For the energy above the most stable polymorph in this dataset, the calculation gives 0.211 eV per atom.



No. 4
Density functional theory data (PBE-GGA) for a geometry-optimized PaCu2Au structure.

```
PaCu2Au
1.0
-2.177 -4.086 0.216
1.092 -3.368 -2.990
2.272 -3.761 1.474
Cu Pa Au
2 1 1
direct
0.250 0.250 0.250
0.750 0.750 0.750
0.000 0.000 0.000
0.500 0.500 0.500
```

## Properties
The calculation puts the spin magnetization at 0.00 μB/cell. As for the symmetry: Fm-3m (225). Its mass density is 13.1 g cm⁻³. Its crystal system is cubic. The calculation puts the density of states at the Fermi level at 1.02 states/eV per atom. For the energy above the most stable polymorph in this dataset, the calculation gives 0.075 eV per atom.



No. 5
Density functional theory data (PBE-GGA) for a geometry-optimized AlAs2Rh structure.

```
AlAs2Rh
1.0
-4.472 2.443 2.619
-1.249 -4.990 2.522
0.339 0.058 6.791
As Rh Al
4 2 2
direct
0.641 0.125 0.250
0.109 0.625 0.250
0.375 0.359 0.750
0.875 0.891 0.750
0.750 0.250 0.500
0.000 0.000 0.000
0.500 0.500 0.000
0.250 0.750 0.500
```

## Properties
The calculation puts the spin magnetization at 0.00 μB/cell. As for the symmetry: I-42d (122). Its mass density is 5.2 g cm⁻³. Its crystal system is tetragonal. The calculation puts the density of states at the Fermi level at 0.58 states/eV per atom. The total DFT energy (no corrections) comes out at -42.02 eV/cell.



No. 6
Density functional theory data (PBE-GGA) for a geometry-optimized InP2C2 structure.

```
InP2C2
1.0
-2.110 -2.197 6.947
-1.222 -7.023 -2.593
2.649 -0.679 0.590
C P In
4 4 2
direct
0.435 0.065 0.500
0.935 0.435 0.500
0.065 0.565 0.500
0.565 0.935 0.500
0.145 0.355 0.000
0.855 0.645 0.000
0.645 0.145 0.000
0.355 0.855 0.000
0.500 0.500 0.000
0.000 0.000 0.000
```

## Properties
The calculation puts the spin magnetization at 0.00 μB/cell. As for the symmetry: P4/mbm (127). Its mass density is 4.1 g cm⁻³. Its crystal system is tetragonal. The calculation puts the density of states at the Fermi level at 0.39 states/eV per atom. For the energy above the most stable polymorph in this dataset, the calculation gives 0.537 eV per atom.